[1]
A relaxed structure of Zr2MnBr, computed with GGA-PBE.

Lattice parameters (Å, degrees): 5.1766 5.1766 5.1766 136.88 120.59 76.19
Closest atoms and distances in Å follow each position.
Fractional coordinates of all 4 atoms:
1 Br 0.2500 0.7500 0.5000  4 Zr 2.84
2 Mn 0.7500 0.2500 0.5000  4 Zr 2.73
3 Zr 0.9909 0.9909 0.0000  2 Mn 2.73, 2 Br 2.84
4 Zr 0.5091 0.5091 0.0000  2 Mn 2.73, 2 Br 2.84

## Properties
As for the energy above the lowest structure with this stoichiometry: 44.8 kJ per mole of atoms. For the magnetic moment, the calculation gives 2.0 Bohr magnetons per cell. The value obtained for the total DFT energy (no corrections) is -6.835 eV/atom. Its formation energy without anion corrections is 150 meV per atom. The crystal system is orthorhombic.



[2]
A relaxed structure of ZrMnBr2, computed with GGA-PBE.

Lattice parameters (Å, degrees): 3.4722 3.4713 6.7337 90.00 90.00 90.00
Closest atoms and distances in Å follow each position.
Fractional coordinates of all 4 atoms:
1 Br 0.0000 0.0000 0.9884  4 Zr 2.93, 4 Mn 3.02, 1 Br 3.21
2 Br 0.0000 0.0000 0.5116  4 Zr 2.93, 4 Mn 3.02, 1 Br 3.21
3 Mn 0.5000 0.5000 0.2500  8 Br 3.02, 2 Zr 3.37
4 Zr 0.5000 0.5000 0.7500  8 Br 2.93

## Properties
As for the energy above the lowest structure with this stoichiometry: 54.2 kJ per mole of atoms. For the magnetic moment, the calculation gives 4.3 Bohr magnetons per cell. The value obtained for the total DFT energy (no corrections) is -5.262 eV/atom. Its formation energy without anion corrections is 4 meV per atom. The crystal system is tetragonal.



[3]
A relaxed structure of ZrMnBr6, computed with GGA-PBE.

Lattice parameters (Å, degrees): 6.7818 6.7798 7.2344 62.05 62.04 59.97
Closest atoms and distances in Å follow each position.
Fractional coordinates of all 8 atoms:
1 Zr 0.5000 0.5000 0.5000  6 Br 2.66
2 Mn 0.0000 0.0000 0.0000  6 Br 2.69-2.70
3 Br 0.1033 0.4010 0.7490  1 Zr 2.66, 1 Mn 2.70
4 Br 0.7467 0.1034 0.7491  1 Zr 2.66, 1 Mn 2.69
5 Br 0.5992 0.2533 0.2508  1 Zr 2.66, 1 Mn 2.69
6 Br 0.2533 0.8966 0.2509  1 Zr 2.66, 1 Mn 2.69
7 Br 0.8967 0.5990 0.2510  1 Zr 2.66, 1 Mn 2.70
8 Br 0.4008 0.7467 0.7492  1 Zr 2.66, 1 Mn 2.69

## Properties
As for the energy above the lowest structure with this stoichiometry: 2.0 kJ per mole of atoms. For the magnetic moment, the calculation gives 5.0 Bohr magnetons per cell. The value obtained for the total DFT energy (no corrections) is -4.550 eV/atom. Its formation energy without anion corrections is -1081 meV per atom. The crystal system is trigonal.



[4]
A relaxed structure of ZrMnBr2, computed with GGA-PBE.

Lattice parameters (Å, degrees): 4.6630 3.4234 5.7737 92.83 90.00 90.00
Closest atoms and distances in Å follow each position.
Fractional coordinates of all 4 atoms:
1 Br 0.0000 0.9689 0.9961  2 Zr 2.81, 2 Mn 2.89, 1 Br 3.15
2 Br 0.0000 0.5311 0.5039  2 Zr 2.81, 2 Mn 2.89, 1 Br 3.15
3 Mn 0.5000 0.2500 0.2500  4 Br 2.89
4 Zr 0.5000 0.7500 0.7500  4 Br 2.81

## Properties
As for the energy above the lowest structure with this stoichiometry: 50.2 kJ per mole of atoms. For the magnetic moment, the calculation gives 3.9 Bohr magnetons per cell. The value obtained for the total DFT energy (no corrections) is -5.303 eV/atom. Its formation energy without anion corrections is -37 meV per atom. The crystal system is monoclinic.



[5]
A relaxed structure of ZrMnBr2, computed with GGA-PBE.

Lattice parameters (Å, degrees): 9.6387 9.6387 9.6387 21.12 21.12 21.12
Closest atoms and distances in Å follow each position.
Fractional coordinates of all 4 atoms:
1 Br 0.0232 0.0232 0.0232  3 Zr 2.78
2 Br 0.2228 0.2228 0.2228  3 Mn 2.63
3 Mn 0.4975 0.4975 0.4975  3 Br 2.63, 3 Zr 2.93
4 Zr 0.7565 0.7565 0.7565  3 Br 2.78, 3 Mn 2.93

## Properties
As for the energy above the lowest structure with this stoichiometry: 0.0 kJ per mole of atoms. For the magnetic moment, the calculation gives 3.2 Bohr magnetons per cell. The value obtained for the total DFT energy (no corrections) is -5.824 eV/atom. Its formation energy without anion corrections is -558 meV per atom. The crystal system is trigonal.



[6]
A relaxed structure of Zr2MnBr, computed with GGA-PBE.

Lattice parameters (Å, degrees): 4.6187 3.2257 5.4043 72.72 90.00 90.00
Closest atoms and distances in Å follow each position.
Fractional coordinates of all 4 atoms:
1 Br 0.0000 0.7194 0.4362  7 Zr 2.78-2.88, 2 Mn 3.05
2 Mn 0.5000 0.5270 0.8232  7 Zr 2.68-2.96
3 Zr 0.0000 0.9889 0.8983  3 Br 2.78-2.88, 4 Mn 2.84
4 Zr 0.5000 0.2647 0.3423  3 Mn 2.68-2.96, 4 Br 2.86

## Properties
As for the energy above the lowest structure with this stoichiometry: 32.2 kJ per mole of atoms. For the magnetic moment, the calculation gives 2.2 Bohr magnetons per cell. The value obtained for the total DFT energy (no corrections) is -6.966 eV/atom. Its formation energy without anion corrections is 19 meV per atom. The crystal system is monoclinic.



[7]
A relaxed structure of ZrMnBr2, computed with GGA-PBE.

Lattice parameters (Å, degrees): 10.7072 10.7072 10.7072 18.17 18.17 18.17
Closest atoms and distances in Å follow each position.
Fractional coordinates of all 4 atoms:
1 Br 0.0207 0.0207 0.0207  3 Zr 2.78
2 Br 0.4793 0.4793 0.4793  3 Zr 2.78
3 Mn 0.2500 0.2500 0.2500  6 Mn 3.38
4 Zr 0.7500 0.7500 0.7500  6 Br 2.78

## Properties
As for the energy above the lowest structure with this stoichiometry: 27.6 kJ per mole of atoms. For the magnetic moment, the calculation gives 4.9 Bohr magnetons per cell. The value obtained for the total DFT energy (no corrections) is -5.537 eV/atom. Its formation energy without anion corrections is -271 meV per atom. The crystal system is trigonal.



[8]
A relaxed structure of Zr2MnBr, computed with GGA-PBE.

Lattice parameters (Å, degrees): 3.2363 3.2363 9.0405 90.00 90.00 89.92
Closest atoms and distances in Å follow each position.
Fractional coordinates of all 4 atoms:
1 Br 0.0000 0.0000 0.4527  4 Zr 2.93, 4 Br 3.24
2 Mn 0.5000 0.5000 0.7987  4 Zr 2.91-2.92, 4 Mn 3.24
3 Zr 0.0000 0.0000 0.9984  4 Mn 2.91-2.92, 8 Zr 3.23-3.24
4 Zr 0.5000 0.5000 0.2502  4 Br 2.93, 8 Zr 3.23-3.24

## Properties
As for the energy above the lowest structure with this stoichiometry: 26.4 kJ per mole of atoms. For the magnetic moment, the calculation gives 4.0 Bohr magnetons per cell. The value obtained for the total DFT energy (no corrections) is -7.025 eV/atom. Its formation energy without anion corrections is -41 meV per atom. The crystal system is tetragonal.



Repeat the eighth record exactly.
A relaxed structure of Zr2MnBr, computed with GGA-PBE.

Lattice parameters (Å, degrees): 3.2363 3.2363 9.0405 90.00 90.00 89.92
Closest atoms and distances in Å follow each position.
Fractional coordinates of all 4 atoms:
1 Br 0.0000 0.0000 0.4527  4 Zr 2.93, 4 Br 3.24
2 Mn 0.5000 0.5000 0.7987  4 Zr 2.91-2.92, 4 Mn 3.24
3 Zr 0.0000 0.0000 0.9984  4 Mn 2.91-2.92, 8 Zr 3.23-3.24
4 Zr 0.5000 0.5000 0.2502  4 Br 2.93, 8 Zr 3.23-3.24

## Properties
As for the energy above the lowest structure with this stoichiometry: 26.4 kJ per mole of atoms. For the magnetic moment, the calculation gives 4.0 Bohr magnetons per cell. The value obtained for the total DFT energy (no corrections) is -7.025 eV/atom. Its formation energy without anion corrections is -41 meV per atom. The crystal system is tetragonal.